# MnNF2

A relaxed MnNF2 crystal (GGA+U, Alexandria).

**Space group**: No. 5
**Polymorph energy (0 for the lowest one)**: 0.0 meV per atom
**Total energy**: -5.52 eV/atom
**Crystal system**: monoclinic

CIF file:
```
data_MnNF2
_cell_length_a 3.3904
_cell_length_b 5.8724
_cell_length_c 7.1310
_cell_angle_alpha 105.97
_cell_angle_beta 89.98
_cell_angle_gamma 90.00
_symmetry_space_group_name_H-M 'P 1'
_symmetry_Int_Tables_number 1
loop_
_symmetry_equiv_pos_as_xyz
'x,y,z'
loop_
_atom_site_label
_atom_site_type_symbol
_atom_site_fract_x
_atom_site_fract_y
_atom_site_fract_z
Mn1 Mn 0.7773 0.3430 0.5516
F1 F 0.2772 0.5555 0.6889
F2 F 0.2774 0.1306 0.4144
F3 F 0.7774 0.6305 0.4144
N1 N 0.7788 0.8431 0.0519
N2 N 0.2788 0.3431 0.0518
F4 F 0.7772 0.0554 0.6889
Mn2 Mn 0.2773 0.8430 0.5515
```